1.
# GeTeOs PBE-GGA optimized geometry
# DOS at the Fermi energy   1.70 states/eV/cell
# Volume   20.21 A^3/atom
# Formation energy (no corrections)   0.210 eV/atom
data_GeTeOs
_chemical_formula_sum 'Ge2 Te2 Os2'
_symmetry_space_group_name_H-M 'P -1'
_symmetry_Int_Tables_number 2
_symmetry_space_group_name_Hall '-P 1'
_cell_length_a 4.3567
_cell_length_b 4.7018
_cell_length_c 6.3494
_cell_angle_alpha 109.61
_cell_angle_beta 97.70
_cell_angle_gamma 90.26
loop_
_atom_site_label
_atom_site_fract_x
_atom_site_fract_y
_atom_site_fract_z
_atom_site_occupancy
Ge1 0.1571 0.2467 0.4481 1
Te1 0.2468 0.2287 0.9275 1
Os1 0.3107 0.6913 0.3387 1

2.
# SrHg6Sb2 PBE-GGA optimized geometry
# DOS at the Fermi energy   3.47 states/eV/cell
# Volume   29.07 A^3/atom
# Formation energy (no corrections)   -0.173 eV/atom
data_SrHg6Sb2
_chemical_formula_sum 'Sr2 Hg12 Sb4'
_symmetry_space_group_name_H-M 'C 1 2/m 1'
_symmetry_Int_Tables_number 12
_symmetry_space_group_name_Hall '-C 2y'
_cell_length_a 8.7130
_cell_length_b 5.0352
_cell_length_c 11.9262
_cell_angle_alpha 90.00
_cell_angle_beta 90.05
_cell_angle_gamma 90.00
loop_
_atom_site_label
_atom_site_fract_x
_atom_site_fract_y
_atom_site_fract_z
_atom_site_occupancy
Sr1 0.0000 0.0000 0.0000 1
Hg1 0.0006 0.0000 0.3416 1
Hg2 0.1669 0.5000 0.1406 1
Hg3 0.1669 0.5000 0.4483 1
Sb1 0.1665 0.5000 0.8111 1

3.
# InGa2Si PBE-GGA optimized geometry
# DOS at the Fermi energy   9.87 states/eV/cell
# Volume   26.22 A^3/atom
# Formation energy (no corrections)   0.268 eV/atom
data_InGa2Si
_chemical_formula_sum 'In4 Ga8 Si4'
_symmetry_space_group_name_H-M 'I -4 2 d'
_symmetry_Int_Tables_number 122
_symmetry_space_group_name_Hall 'I -4 2bw'
_cell_length_a 6.3283
_cell_length_b 6.3283
_cell_length_c 10.4745
_cell_angle_alpha 90.00
_cell_angle_beta 90.00
_cell_angle_gamma 90.00
loop_
_atom_site_label
_atom_site_fract_x
_atom_site_fract_y
_atom_site_fract_z
_atom_site_occupancy
In1 0.0000 0.0000 0.0000 1
Ga1 0.2005 0.2500 0.6250 1
Si1 0.0000 0.0000 0.5000 1

4.
# LaThIrPt PBE-GGA optimized geometry
# DOS at the Fermi energy   20.13 states/eV/cell
# ΔE_f   -0.846 eV per atom
# Volume   23.50 A^3/atom
data_LaThIrPt
_chemical_formula_sum 'La4 Th4 Ir4 Pt4'
_symmetry_space_group_name_H-M 'F -4 3 m'
_symmetry_Int_Tables_number 216
_symmetry_space_group_name_Hall 'F -4 2 3'
_cell_length_a 7.2174
_cell_length_b 7.2174
_cell_length_c 7.2174
_cell_angle_alpha 90.00
_cell_angle_beta 90.00
_cell_angle_gamma 90.00
loop_
_atom_site_label
_atom_site_fract_x
_atom_site_fract_y
_atom_site_fract_z
_atom_site_occupancy
La1 0.0000 0.0000 0.0000 1
Th1 0.0000 0.0000 0.5000 1
Ir1 0.2500 0.2500 0.7500 1
Pt1 0.2500 0.2500 0.2500 1

5.
# Ba3CdSb2O9 PBE-GGA optimized geometry
# DOS at the Fermi energy   5.51 states/eV/cell
# Volume   15.09 A^3/atom
# Formation energy (no corrections)   -2.016 eV/atom
data_Ba3CdSb2O9
_chemical_formula_sum 'Ba3 Cd1 Sb2 O9'
_symmetry_space_group_name_H-M 'P -3 m 1'
_symmetry_Int_Tables_number 164
_symmetry_space_group_name_Hall '-P 3 2"'
_cell_length_a 5.9588
_cell_length_b 5.9588
_cell_length_c 7.3599
_cell_angle_alpha 90.00
_cell_angle_beta 90.00
_cell_angle_gamma 120.00
loop_
_atom_site_label
_atom_site_fract_x
_atom_site_fract_y
_atom_site_fract_z
_atom_site_occupancy
Ba1 0.0000 0.0000 0.0000 1
Ba2 0.3333 0.6667 0.6579 1
Cd1 0.0000 0.0000 0.5000 1
Sb1 0.3333 0.6667 0.1657 1
O1 0.0000 0.5000 0.0000 1
O2 0.1750 0.3499 0.3136 1

6.
# Pa2Be4Ge3Ir PBE-GGA optimized geometry
# DOS at the Fermi energy   6.76 states/eV/cell
# ΔE_f   -0.361 eV per atom
# Volume   15.19 A^3/atom
data_Pa2Be4Ge3Ir
_chemical_formula_sum 'Pa2 Be4 Ge3 Ir1'
_symmetry_space_group_name_H-M 'P -4 m 2'
_symmetry_Int_Tables_number 115
_symmetry_space_group_name_Hall 'P -4 -2'
_cell_length_a 4.0075
_cell_length_b 4.0075
_cell_length_c 9.4555
_cell_angle_alpha 90.00
_cell_angle_beta 90.00
_cell_angle_gamma 90.00
loop_
_atom_site_label
_atom_site_fract_x
_atom_site_fract_y
_atom_site_fract_z
_atom_site_occupancy
Pa1 0.0000 0.5000 0.2442 1
Be1 0.0000 0.0000 0.5000 1
Be2 0.0000 0.5000 0.8726 1
Be3 0.5000 0.5000 0.5000 1
Ge1 0.0000 0.0000 0.0000 1
Ge2 0.0000 0.5000 0.6314 1
Ir1 0.5000 0.5000 0.0000 1

7.
# Li3Zn2InAg3 PBE-GGA optimized geometry
# DOS at the Fermi energy   2.13 states/eV/cell
# ΔE_f   -0.173 eV per atom
# Volume   16.70 A^3/atom
data_Li3Zn2InAg3
_chemical_formula_sum 'Li3 Zn2 In1 Ag3'
_symmetry_space_group_name_H-M 'P -6 2 m'
_symmetry_Int_Tables_number 189
_symmetry_space_group_name_Hall 'P -6 -2'
_cell_length_a 7.7372
_cell_length_b 7.7372
_cell_length_c 2.8997
_cell_angle_alpha 90.00
_cell_angle_beta 90.00
_cell_angle_gamma 120.00
loop_
_atom_site_label
_atom_site_fract_x
_atom_site_fract_y
_atom_site_fract_z
_atom_site_occupancy
Li1 0.0000 0.3157 0.0000 1
Zn1 0.3333 0.6667 0.0000 1
In1 0.0000 0.0000 0.5000 1
Ag1 0.0000 0.6282 0.5000 1

8.
# BaY2Cl PBE-GGA optimized geometry
# DOS at the Fermi energy   10.15 states/eV/cell
# Volume   40.15 A^3/atom
# Formation energy (no corrections)   -0.288 eV/atom
data_BaY2Cl
_chemical_formula_sum 'Ba2 Y4 Cl2'
_symmetry_space_group_name_H-M 'I 4/m m m'
_symmetry_Int_Tables_number 139
_symmetry_space_group_name_Hall '-I 4 2'
_cell_length_a 4.5234
_cell_length_b 4.5234
_cell_length_c 15.6996
_cell_angle_alpha 90.00
_cell_angle_beta 90.00
_cell_angle_gamma 90.00
loop_
_atom_site_label
_atom_site_fract_x
_atom_site_fract_y
_atom_site_fract_z
_atom_site_occupancy
Ba1 0.0000 0.0000 0.0000 1
Y1 0.0000 0.5000 0.2500 1
Cl1 0.0000 0.0000 0.5000 1

What is the formula in the fourth record?
LaThIrPt

Copy entry 2 word for word.
# SrHg6Sb2 PBE-GGA optimized geometry
# DOS at the Fermi energy   3.47 states/eV/cell
# Volume   29.07 A^3/atom
# Formation energy (no corrections)   -0.173 eV/atom
data_SrHg6Sb2
_chemical_formula_sum 'Sr2 Hg12 Sb4'
_symmetry_space_group_name_H-M 'C 1 2/m 1'
_symmetry_Int_Tables_number 12
_symmetry_space_group_name_Hall '-C 2y'
_cell_length_a 8.7130
_cell_length_b 5.0352
_cell_length_c 11.9262
_cell_angle_alpha 90.00
_cell_angle_beta 90.05
_cell_angle_gamma 90.00
loop_
_atom_site_label
_atom_site_fract_x
_atom_site_fract_y
_atom_site_fract_z
_atom_site_occupancy
Sr1 0.0000 0.0000 0.0000 1
Hg1 0.0006 0.0000 0.3416 1
Hg2 0.1669 0.5000 0.1406 1
Hg3 0.1669 0.5000 0.4483 1
Sb1 0.1665 0.5000 0.8111 1

Which of these has the lowest volume?
Ba3CdSb2O9

Please write out number 3 again, unchanged.
# InGa2Si PBE-GGA optimized geometry
# DOS at the Fermi energy   9.87 states/eV/cell
# Volume   26.22 A^3/atom
# Formation energy (no corrections)   0.268 eV/atom
data_InGa2Si
_chemical_formula_sum 'In4 Ga8 Si4'
_symmetry_space_group_name_H-M 'I -4 2 d'
_symmetry_Int_Tables_number 122
_symmetry_space_group_name_Hall 'I -4 2bw'
_cell_length_a 6.3283
_cell_length_b 6.3283
_cell_length_c 10.4745
_cell_angle_alpha 90.00
_cell_angle_beta 90.00
_cell_angle_gamma 90.00
loop_
_atom_site_label
_atom_site_fract_x
_atom_site_fract_y
_atom_site_fract_z
_atom_site_occupancy
In1 0.0000 0.0000 0.0000 1
Ga1 0.2005 0.2500 0.6250 1
Si1 0.0000 0.0000 0.5000 1